{"formula": "La4GaSeI2", "functional": "GGA-PBE", "state": "optimized geometry", "sg": "P2/m (10)", "e_tot_ev_per_atom": -4.866, "cell": [[4.4761, 0.0000, 0.0000], [0.0000, 8.1915, -0.3201], [0.0000, 2.7207, 7.0697]], "species": ["I", "I", "La", "La", "La", "La", "Ga", "Se"], "fractional_positions": [[0.0000, 0.0000, 0.0000], [0.5000, 0.0000, 0.5000], [0.0000, 0.7069, 0.7657], [0.5000, 0.2948, 0.7364], [0.0000, 0.2931, 0.2343], [0.5000, 0.7052, 0.2636], [0.5000, 0.5000, 0.0000], [0.0000, 0.5000, 0.5000]]}

---

{"formula": "LaTb2Pm3Er6", "functional": "GGA-PBE", "state": "optimized geometry", "sg": "C2/m (12)", "delta_e_f_ev_per_fu": 0.2, "cell": [[-3.6927, -3.9282, 3.0558], [4.7609, -2.1722, -3.3196], [6.4989, 2.8234, 9.3950]], "species": ["Tb", "Tb", "Pm", "Pm", "Pm", "Er", "Er", "Er", "Er", "Er", "Er", "La"], "fractional_positions": [[0.3333, 0.6667, 0.0000], [0.6667, 0.3333, 0.0000], [0.1669, 0.8331, 0.5000], [0.8331, 0.1669, 0.5000], [0.5000, 0.5000, 0.5000], [0.4181, 0.0836, 0.2500], [0.0836, 0.4181, 0.2500], [0.7490, 0.7490, 0.2500], [0.9164, 0.5819, 0.7500], [0.5819, 0.9164, 0.7500], [0.2510, 0.2510, 0.7500], [0.0000, 0.0000, 0.0000]]}

---

{"formula": "RbMg", "functional": "GGA-PBE", "state": "optimized geometry", "sg": "Cm (8)", "delta_e_f_ev_per_fu": 0.4, "cell": [[1.5663, -4.3325, -6.2756], [5.5403, -3.8080, -3.9257], [-0.3107, -8.7071, 2.4686]], "species": ["Mg", "Mg", "Mg", "Rb", "Rb", "Rb"], "fractional_positions": [[0.6759, 0.6759, 0.1898], [0.0678, 0.0678, 0.4142], [0.6497, 0.6497, 0.5586], [0.3615, 0.3615, 0.3066], [0.3495, 0.3495, 0.7663], [0.0622, 0.0622, 0.9312]]}

---

{"formula": "Tb3ErTm6Th2", "functional": "GGA-PBE", "state": "optimized geometry", "sg": "C2/m (12)", "delta_e_f_ev_per_fu": 0.2, "cell": [[-1.6284, -3.3396, -4.8511], [4.1383, -2.1592, 3.9434], [-9.2118, -2.9981, 6.4428]], "species": ["Tb", "Tb", "Tb", "Er", "Tm", "Tm", "Tm", "Tm", "Tm", "Tm", "Th", "Th"], "fractional_positions": [[0.8336, 0.1664, 0.5000], [0.1664, 0.8336, 0.5000], [0.5000, 0.5000, 0.5000], [0.0000, 0.0000, 0.0000], [0.4192, 0.0826, 0.2475], [0.2541, 0.2541, 0.7520], [0.0826, 0.4192, 0.2475], [0.9174, 0.5808, 0.7525], [0.5808, 0.9174, 0.7525], [0.7459, 0.7459, 0.2480], [0.3334, 0.6666, 0.0000], [0.6666, 0.3334, 0.0000]]}

---

{"formula": "SnTe2Cl", "functional": "GGA-PBE", "state": "optimized geometry", "de_polymorph_mev_per_atom": 378, "sg": "Fm-3m (225)", "cell": [[0.0000, 3.7510, 3.7510], [3.7510, 0.0000, 3.7510], [3.7510, 3.7510, 0.0000]], "species": ["Sn", "Te", "Te", "Cl"], "fractional_positions": [[0.5000, 0.5000, 0.5000], [0.7500, 0.7500, 0.7500], [0.2500, 0.2500, 0.2500], [0.0000, 0.0000, 0.0000]]}

---

{"formula": "ScFe4Te", "functional": "GGA-PBE", "state": "optimized geometry", "sg": "F-43m (216)", "e_tot_ev_per_atom": -7.271, "cell": [[0.0000, 3.5246, 3.5246], [3.5246, 0.0000, 3.5246], [3.5246, 3.5246, 0.0000]], "species": ["Te", "Sc", "Fe", "Fe", "Fe", "Fe"], "fractional_positions": [[0.0000, 0.0000, 0.0000], [0.2500, 0.2500, 0.2500], [0.6243, 0.1272, 0.6243], [0.6243, 0.6243, 0.1272], [0.6243, 0.6243, 0.6243], [0.1272, 0.6243, 0.6243]]}

---

{"formula": "TaAsOs2", "functional": "GGA-PBE", "state": "optimized geometry", "sg": "Cmm2 (35)", "delta_e_f_ev_per_fu": 2.0, "cell": [[2.8402, -0.0022, 0.0000], [-1.2998, 2.5254, 0.0000], [0.0000, 0.0000, 8.8653]], "species": ["Ta", "Os", "Os", "As"], "fractional_positions": [[0.0000, 0.0000, 0.5004], [0.5000, 0.5000, 0.2471], [0.0000, 0.0000, 0.9935], [0.5000, 0.5000, 0.7590]]}

---

{"formula": "BAsIrBr2", "functional": "GGA-PBE", "state": "optimized geometry", "de_polymorph_mev_per_atom": 0, "sg": "P4/mmm (123)", "cell": [[-1.2722, 1.4556, 4.2567], [-0.8116, -4.0249, 1.1337], [4.4096, -0.4724, 1.4795]], "species": ["As", "Ir", "Br", "Br", "B"], "fractional_positions": [[0.5000, 0.5000, 0.5000], [0.0000, 0.5000, 0.0000], [0.5000, 0.0000, 0.0000], [0.0000, 0.0000, 0.5000], [0.0000, 0.0000, 0.0000]]}

---

One value per record, in order, for N(E_F): 0.63; 1.18; 0.64; 1.29; 1.33; 0.85; 0.90; 0.83 states/eV/atom.
One value per record, in order, for total moment: 0.0; 0.0; 0.0; 0.0; 0.0; 8.6; 0.0; 0.0 μB/cell.